Version 1
4
Lattice="0.0000 3.2915 3.2915 3.2915 0.0000 3.2915 3.2915 3.2915 0.0000" Properties=species:S:1:pos:R:3 comment="NaGaTeOs, relaxed, DFT PBE-GGA" mass_density_g_cm3=9.56 spacegroup="F-43m (216)" volume_a3_per_atom=17.8 pbc="T T T"
Na 0.0000 0.0000 0.0000
Ga 4.9372 4.9372 4.9372
Te 1.6457 1.6457 1.6457
Os 3.2915 3.2915 3.2915


Version 2
4
Lattice="0.0000 3.3554 3.3554 3.3554 0.0000 3.3554 3.3554 3.3554 0.0000" Properties=species:S:1:pos:R:3 comment="NaGaTeOs, relaxed, DFT PBE-GGA" mass_density_g_cm3=9.02 spacegroup="F-43m (216)" volume_a3_per_atom=18.9 pbc="T T T"
Na 0.0000 0.0000 0.0000
Ga 3.3554 3.3554 3.3554
Te 1.6777 1.6777 1.6777
Os 5.0330 5.0330 5.0330


Version 3
4
Lattice="0.0000 3.3728 3.3728 3.3728 0.0000 3.3728 3.3728 3.3728 0.0000" Properties=species:S:1:pos:R:3 comment="NaGaTeOs, relaxed, DFT PBE-GGA" mass_density_g_cm3=8.88 spacegroup="F-43m (216)" volume_a3_per_atom=19.2 pbc="T T T"
Na 0.0000 0.0000 0.0000
Ga 1.6864 1.6864 1.6864
Te 3.3728 3.3728 3.3728
Os 5.0592 5.0592 5.0592


Which of them is the most stable? Correct choice: version 1.


Version 1
4
Lattice="0.0000 3.4859 3.4859 3.4859 0.0000 3.4859 3.4859 3.4859 0.0000" Properties=species:S:1:pos:R:3 comment="NaGaPtPb, relaxed, DFT PBE-GGA" mass_density_g_cm3=9.70 spacegroup="F-43m (216)" volume_a3_per_atom=21.2 pbc="T T T"
Na 0.0000 0.0000 0.0000
Ga 5.2288 5.2288 5.2288
Pt 1.7429 1.7429 1.7429
Pb 3.4859 3.4859 3.4859


Version 2
4
Lattice="0.0000 3.4086 3.4086 3.4086 0.0000 3.4086 3.4086 3.4086 0.0000" Properties=species:S:1:pos:R:3 comment="NaGaPtPb, relaxed, DFT PBE-GGA" mass_density_g_cm3=10.38 spacegroup="F-43m (216)" volume_a3_per_atom=19.8 pbc="T T T"
Na 0.0000 0.0000 0.0000
Ga 1.7043 1.7043 1.7043
Pt 3.4086 3.4086 3.4086
Pb 5.1129 5.1129 5.1129


Which of them is the most stable? Correct choice: version 2.


Version 1
4
Lattice="0.0000 3.2701 3.2701 3.2701 0.0000 3.2701 3.2701 3.2701 0.0000" Properties=species:S:1:pos:R:3 comment="NaZrGaPd, relaxed, DFT PBE-GGA" mass_density_g_cm3=6.89 spacegroup="F-43m (216)" volume_a3_per_atom=17.5 pbc="T T T"
Na 0.0000 0.0000 0.0000
Zr 4.9051 4.9051 4.9051
Ga 1.6350 1.6350 1.6350
Pd 3.2701 3.2701 3.2701


Version 2
4
Lattice="0.0000 3.3445 3.3445 3.3445 0.0000 3.3445 3.3445 3.3445 0.0000" Properties=species:S:1:pos:R:3 comment="NaZrGaPd, relaxed, DFT PBE-GGA" mass_density_g_cm3=6.44 spacegroup="F-43m (216)" volume_a3_per_atom=18.7 pbc="T T T"
Na 0.0000 0.0000 0.0000
Zr 3.3445 3.3445 3.3445
Ga 5.0167 5.0167 5.0167
Pd 1.6722 1.6722 1.6722


Which of them is the most stable? Correct choice: version 1.


Version 1
4
Lattice="0.0000 3.3377 3.3377 3.3377 0.0000 3.3377 3.3377 3.3377 0.0000" Properties=species:S:1:pos:R:3 comment="NaGaSnPt, relaxed, DFT PBE-GGA" mass_density_g_cm3=9.08 spacegroup="F-43m (216)" volume_a3_per_atom=18.6 pbc="T T T"
Na 0.0000 0.0000 0.0000
Ga 1.6688 1.6688 1.6688
Sn 5.0065 5.0065 5.0065
Pt 3.3377 3.3377 3.3377


Version 2
4
Lattice="0.0000 3.4015 3.4015 3.4015 0.0000 3.4015 3.4015 3.4015 0.0000" Properties=species:S:1:pos:R:3 comment="NaGaSnPt, relaxed, DFT PBE-GGA" mass_density_g_cm3=8.58 spacegroup="F-43m (216)" volume_a3_per_atom=19.7 pbc="T T T"
Na 0.0000 0.0000 0.0000
Ga 5.1022 5.1022 5.1022
Sn 3.4015 3.4015 3.4015
Pt 1.7007 1.7007 1.7007


Version 3
4
Lattice="0.0000 3.3788 3.3788 3.3788 0.0000 3.3788 3.3788 3.3788 0.0000" Properties=species:S:1:pos:R:3 comment="NaGaSnPt, relaxed, DFT PBE-GGA" mass_density_g_cm3=8.75 spacegroup="F-43m (216)" volume_a3_per_atom=19.3 pbc="T T T"
Na 0.0000 0.0000 0.0000
Ga 3.3788 3.3788 3.3788
Sn 5.0681 5.0681 5.0681
Pt 1.6894 1.6894 1.6894


Which of them is the most stable? Correct choice: version 1.


Version 1
3
Lattice="0.0000 3.1182 3.1182 3.1182 0.0000 3.1182 3.1182 3.1182 0.0000" Properties=species:S:1:pos:R:3 comment="NaGaTc, relaxed, DFT PBE-GGA" mass_density_g_cm3=5.22 spacegroup="F-43m (216)" volume_a3_per_atom=20.2 pbc="T T T"
Na 0.0000 0.0000 0.0000
Ga 1.5591 1.5591 1.5591
Tc 3.1182 3.1182 3.1182


Version 2
3
Lattice="0.0000 3.1483 3.1483 3.1483 0.0000 3.1483 3.1483 3.1483 0.0000" Properties=species:S:1:pos:R:3 comment="NaGaTc, relaxed, DFT PBE-GGA" mass_density_g_cm3=5.07 spacegroup="F-43m (216)" volume_a3_per_atom=20.8 pbc="T T T"
Na 0.0000 0.0000 0.0000
Ga 4.7225 4.7225 4.7225
Tc 1.5742 1.5742 1.5742


Which of them is the most stable? Correct choice: version 1.


Version 1
3
Lattice="0.0000 3.5075 3.5075 3.5075 0.0000 3.5075 3.5075 3.5075 0.0000" Properties=species:S:1:pos:R:3 comment="NaThGa, relaxed, DFT PBE-GGA" mass_density_g_cm3=6.25 spacegroup="F-43m (216)" volume_a3_per_atom=28.8 pbc="T T T"
Na 0.0000 0.0000 0.0000
Th 3.5075 3.5075 3.5075
Ga 1.7537 1.7537 1.7537


Version 2
3
Lattice="0.0000 3.5632 3.5632 3.5632 0.0000 3.5632 3.5632 3.5632 0.0000" Properties=species:S:1:pos:R:3 comment="NaThGa, relaxed, DFT PBE-GGA" mass_density_g_cm3=5.96 spacegroup="F-43m (216)" volume_a3_per_atom=30.2 pbc="T T T"
Na 0.0000 0.0000 0.0000
Th 5.3447 5.3447 5.3447
Ga 3.5632 3.5632 3.5632


Which of them is the most stable? Correct choice: version 1.


Version 1
9
Lattice="3.4494 0.0000 0.0000 0.0000 3.4494 0.0000 0.0000 0.0000 9.1076" Properties=species:S:1:pos:R:3 comment="Nb2Ga2O5, relaxed, DFT PBE-GGA" mass_density_g_cm3=6.21 spacegroup="P4/mmm (123)" volume_a3_per_atom=12.0 pbc="T T T"
Nb 0.0000 0.0000 0.0000
Nb 0.0000 0.0000 4.5538
Ga 1.7247 1.7247 2.2444
Ga 1.7247 1.7247 6.8633
O 0.0000 1.7247 3.2921
O 0.0000 1.7247 5.8156
O 1.7247 0.0000 3.2921
O 1.7247 0.0000 5.8156
O 1.7247 1.7247 0.0000


Version 2
9
Lattice="4.0099 0.0000 0.0000 0.0000 4.0099 0.0000 0.0000 0.0000 7.7796" Properties=species:S:1:pos:R:3 comment="Nb2Ga2O5, relaxed, DFT PBE-GGA" mass_density_g_cm3=5.38 spacegroup="P4/mmm (123)" volume_a3_per_atom=13.9 pbc="T T T"
Nb 0.0000 0.0000 1.9046
Nb 0.0000 0.0000 5.8750
Ga 2.0049 2.0049 0.0000
Ga 2.0049 2.0049 3.8898
O 0.0000 0.0000 3.8898
O 0.0000 2.0049 1.8077
O 0.0000 2.0049 5.9719
O 2.0049 0.0000 1.8077
O 2.0049 0.0000 5.9719


Which of them is the most stable? Correct choice: version 2.


Version 1
3
Lattice="0.0000 3.3676 3.3676 3.3676 0.0000 3.3676 3.3676 3.3676 0.0000" Properties=species:S:1:pos:R:3 comment="NbGaPb, relaxed, DFT PBE-GGA" mass_density_g_cm3=8.04 spacegroup="F-43m (216)" volume_a3_per_atom=25.5 pbc="T T T"
Nb 0.0000 0.0000 0.0000
Ga 3.3676 3.3676 3.3676
Pb 1.6838 1.6838 1.6838


Version 2
3
Lattice="0.0000 3.3267 3.3267 3.3267 0.0000 3.3267 3.3267 3.3267 0.0000" Properties=species:S:1:pos:R:3 comment="NbGaPb, relaxed, DFT PBE-GGA" mass_density_g_cm3=8.34 spacegroup="F-43m (216)" volume_a3_per_atom=24.5 pbc="T T T"
Nb 0.0000 0.0000 0.0000
Ga 4.9900 4.9900 4.9900
Pb 1.6633 1.6633 1.6633


Which of them is the most stable? Correct choice: version 2.


Version 1
6
Lattice="3.9309 0.0000 0.0000 0.0000 3.9309 0.0000 0.0000 0.0000 7.5710" Properties=species:S:1:pos:R:3 comment="ScNbGa, relaxed, DFT PBE-GGA" mass_density_g_cm3=5.89 spacegroup="P4/nmm (129)" volume_a3_per_atom=19.5 pbc="T T T"
Sc 0.9827 0.9827 1.1753
Sc 2.9482 2.9482 6.3957
Nb 0.9827 2.9482 3.7855
Nb 2.9482 0.9827 3.7855
Ga 0.9827 0.9827 5.8190
Ga 2.9482 2.9482 1.7520


Version 2
3
Lattice="0.0000 3.2409 3.2409 3.2409 0.0000 3.2409 3.2409 3.2409 0.0000" Properties=species:S:1:pos:R:3 comment="ScNbGa, relaxed, DFT PBE-GGA" mass_density_g_cm3=5.06 spacegroup="F-43m (216)" volume_a3_per_atom=22.7 pbc="T T T"
Sc 0.0000 0.0000 0.0000
Nb 4.8614 4.8614 4.8614
Ga 3.2409 3.2409 3.2409


Which of them is the most stable? Correct choice: version 1.


Version 1
5
Lattice="-1.9403 1.9403 6.9596 1.9403 -1.9403 6.9596 1.9403 1.9403 -6.9596" Properties=species:S:1:pos:R:3 comment="Sc2Nb2Ga, relaxed, DFT PBE-GGA" mass_density_g_cm3=5.47 spacegroup="I4/mmm (139)" volume_a3_per_atom=21.0 pbc="T T T"
Sc 1.9403 0.0000 3.4798
Sc 0.0000 1.9403 3.4798
Nb 0.0000 0.0000 1.1762
Nb 0.0000 0.0000 12.7431
Ga 0.0000 0.0000 6.9596


Version 2
5
Lattice="-1.8689 1.8689 7.8722 1.8689 -1.8689 7.8722 1.8689 1.8689 -7.8722" Properties=species:S:1:pos:R:3 comment="Sc2Nb2Ga, relaxed, DFT PBE-GGA" mass_density_g_cm3=5.22 spacegroup="I4/mmm (139)" volume_a3_per_atom=22.0 pbc="T T T"
Sc 0.0000 0.0000 1.5204
Sc 0.0000 0.0000 14.2239
Nb 1.8689 0.0000 3.9361
Nb 0.0000 1.8689 3.9361
Ga 0.0000 0.0000 7.8722


Which of them is the most stable? Correct choice: version 2.


Version 1
5
Lattice="-1.8718 1.8718 5.7891 1.8718 -1.8718 5.7891 1.8718 1.8718 -5.7891" Properties=species:S:1:pos:R:3 comment="NbGa2Tc2, relaxed, DFT PBE-GGA" mass_density_g_cm3=8.77 spacegroup="I4/mmm (139)" volume_a3_per_atom=16.2 pbc="T T T"
Nb 0.0000 0.0000 0.0000
Ga 0.0000 0.0000 4.6355
Ga 0.0000 0.0000 6.9427
Tc 1.8718 0.0000 2.8945
Tc 0.0000 1.8718 2.8945


Version 2
5
Lattice="-2.1702 2.1702 4.5970 2.1702 -2.1702 4.5970 2.1702 2.1702 -4.5970" Properties=species:S:1:pos:R:3 comment="NbGa2Tc2, relaxed, DFT PBE-GGA" mass_density_g_cm3=8.21 spacegroup="I4/mmm (139)" volume_a3_per_atom=17.3 pbc="T T T"
Nb 0.0000 0.0000 0.0000
Ga 2.1702 0.0000 2.2985
Ga 0.0000 2.1702 2.2985
Tc 0.0000 0.0000 3.4993
Tc 0.0000 0.0000 5.6947


Which of them is the most stable? Correct choice: version 1.


Version 1
3
Lattice="0.0000 3.2479 3.2479 3.2479 0.0000 3.2479 3.2479 3.2479 0.0000" Properties=species:S:1:pos:R:3 comment="ZrNbGa, relaxed, DFT PBE-GGA" mass_density_g_cm3=6.15 spacegroup="F-43m (216)" volume_a3_per_atom=22.8 pbc="T T T"
Zr 0.0000 0.0000 0.0000
Nb 4.8719 4.8719 4.8719
Ga 3.2479 3.2479 3.2479


Version 2
6
Lattice="3.8792 0.0000 0.0000 0.0000 3.8792 0.0000 0.0000 0.0000 7.6217" Properties=species:S:1:pos:R:3 comment="ZrNbGa, relaxed, DFT PBE-GGA" mass_density_g_cm3=7.35 spacegroup="P4/nmm (129)" volume_a3_per_atom=19.1 pbc="T T T"
Zr 0.9698 0.9698 1.0850
Zr 2.9094 2.9094 6.5367
Nb 0.9698 2.9094 3.8109
Nb 2.9094 0.9698 3.8109
Ga 0.9698 0.9698 5.8546
Ga 2.9094 2.9094 1.7671


Which of them is the most stable? Correct choice: version 2.